Record 1
VASP calculation (PBE) on CoSe after structural relaxation.

Values from the calculation:
- E (eV per atom) = -5.187
- spin magnetization (μB/atom) = 0.300

Cell lengths 3.3811, 3.3811, 8.8866 Å; angles 90.00, 90.00, 120.00 degrees
Space group R-3m (No. 166, hexagonal axes)
Symmetry-distinct sites (fractional):
Co 0.0000 0.0000 0.0000 [3 per cell]
Se 0.0000 0.0000 0.5000 [3 per cell]


Record 2
VASP calculation (PBE) on CoSe after structural relaxation.

Values from the calculation:
- E (eV per atom) = -5.435
- spin magnetization (μB/atom) = 0.007

Cell lengths 5.184, 3.594, 6.232 Å; angles 90.00, 90.00, 90.00 degrees
Space group Pnma (No. 62)
Symmetry-distinct sites (fractional):
Co 0.001 0.250 0.249 [4 per cell]
Se 0.250 0.250 0.583 [4 per cell]